Record 1
10
Lattice="7.362 0.000 0.000 0.000 7.362 0.000 0.000 0.000 2.731" Properties=species:S:1:pos:R:3 comment="Mn2AgPd2 | Alexandria via LeMat-Bulk | PBE-GGA | optimized geometry" energy_ev_per_cell=-60.3 relative_energy_ev_per_atom=0.000 ef_ev_per_fu=1.42 pbc="T T T"
Mn 0.683 2.998 0.000
Mn 2.998 6.680 0.000
Mn 4.364 0.683 0.000
Mn 6.680 4.364 0.000
Ag 0.000 0.000 0.000
Ag 3.681 3.681 0.000
Pd 1.455 5.136 1.366
Pd 2.226 1.455 1.366
Pd 5.136 5.907 1.366
Pd 5.907 2.226 1.366

=====

Record 2
12
Lattice="4.609 0.000 0.000 0.000 2.954 0.000 -0.186 0.000 15.705" Properties=species:S:1:pos:R:3 comment="In2Pd7Au3 | Alexandria via LeMat-Bulk | PBE-GGA | optimized geometry" energy_ev_per_cell=-53.0 relative_energy_ev_per_atom=0.035 ef_ev_per_fu=-1.37 pbc="T T T"
In 1.067 0.000 4.498
In 3.357 0.000 11.207
Pd 0.622 1.477 2.314
Pd 1.057 0.000 7.100
Pd 1.477 0.000 13.281
Pd 2.304 1.477 0.000
Pd 2.946 0.000 2.424
Pd 3.366 0.000 8.605
Pd 3.801 1.477 13.391
Au 0.000 0.000 0.000
Au 1.060 1.477 9.645
Au 3.363 1.477 6.061

=====

Record 3
8
Lattice="-3.894 3.894 4.286 3.894 -3.894 4.286 3.894 3.894 -4.286" Properties=species:S:1:pos:R:3 comment="Ba2PtC | Alexandria via LeMat-Bulk | PBE-GGA | optimized geometry" energy_ev_per_cell=-33.7 ef_ev_per_fu=2.24 pbc="T T T"
Ba 1.947 1.701 -1.071
Ba 2.192 -1.947 5.357
Ba 1.947 2.192 3.214
Ba 1.701 5.840 1.071
Pt 3.894 0.000 2.143
Pt 0.000 0.000 4.286
C 0.000 0.000 0.000
C 0.000 3.894 2.143

=====

Record 4
4
Lattice="1.717 0.991 11.145 -1.717 0.991 11.145 0.000 -1.983 11.145" Properties=species:S:1:pos:R:3 comment="TbHo2Hf | Alexandria via LeMat-Bulk | PBE-GGA | optimized geometry" energy_ev_per_cell=-23.3 relative_energy_ev_per_atom=0.000 ef_ev_per_fu=0.42 pbc="T T T"
Tb 0.000 0.000 0.000
Ho 0.000 0.000 19.323
Ho 0.000 0.000 25.250
Hf 0.000 0.000 5.562